Density functional theory data (GGA-PBEsol) for CoMoAu2 after structural relaxation.

Values from the calculation:
E above lowest polymorph: 0 meV per atom
uncorrected energy: -6.533 eV per atom
space-group type: No. 44
formation energy: 29.4 kJ per mole of atoms

a = 2.802 Å, b = 4.613 Å, c = 5.353 Å
α = 115.52°, β = 105.17°, γ = 90.00°
Fractional coordinates of all 4 atoms:
Co 0.514 0.514 0.029
Mo 0.216 0.716 0.433
Au 0.995 0.995 0.989
Au 0.775 0.275 0.549

Density functional theory data (GGA-PBEsol) for Co3MoAu after structural relaxation.

Values from the calculation:
uncorrected energy: -6.303 eV per atom
space-group type: No. 221
formation energy: 142.5 kJ per mole of atoms

a = 4.286 Å, b = 4.286 Å, c = 4.286 Å
α = 90.00°, β = 90.00°, γ = 90.00°
Fractional coordinates of all 5 atoms:
Co 0.000 0.500 0.000
Co 0.000 0.000 0.500
Co 0.500 0.000 0.000
Mo 0.000 0.000 0.000
Au 0.500 0.500 0.500